Entry 1:
# YScAgSn2

A relaxed YScAgSn2 crystal (PBE, the Alexandria database).

Cell lengths 5.601, 5.307, 5.601 Å; angles 90.00, 90.00, 90.00 degrees
Atoms (fractional coordinates):
Sc  0.500  0.500  0.500
Sn  0.000  0.000  0.500
Sn  0.500  0.000  0.000
Ag  0.000  0.500  0.000
Y  0.000  0.000  0.000

Calculated values
Symmetry ... P4/mmm
ΔH_f (0 K) ... 2.94 eV per formula unit

---

Entry 2:
# TlCu2Br

A relaxed TlCu2Br crystal (PBE, the Alexandria database).

Cell lengths 4.874, 4.874, 4.874 Å; angles 60.00, 60.00, 60.00 degrees
Atoms (fractional coordinates):
Cu  0.750  0.750  0.750
Cu  0.250  0.250  0.250
Tl  0.500  0.500  0.500
Br  0.000  0.000  0.000

Calculated values
Energy relative to the lowest polymorph listed for this composition ... 0.425 eV/atom
Symmetry ... Fm-3m

---

Entry 3:
# Rb3Y2ErS6

A relaxed Rb3Y2ErS6 crystal (PBE, the Alexandria database).

Cell lengths 7.052, 7.052, 8.038 Å; angles 98.41, 98.41, 120.00 degrees
Atoms (fractional coordinates):
S  0.064  0.395  0.192
Rb  0.167  0.833  0.500
S  0.395  0.064  0.192
S  0.936  0.605  0.808
S  0.733  0.733  0.192
Y  0.333  0.667  0.000
S  0.605  0.936  0.808
Rb  0.500  0.500  0.500
Y  0.667  0.333  0.000
S  0.267  0.267  0.808
Er  0.000  0.000  0.000
Rb  0.833  0.167  0.500

Calculated values
Symmetry ... C2/m
E_tot ... -5.621 eV per atom

---

Entry 4:
# Th3FeSb

A relaxed Th3FeSb crystal (PBE, the Alexandria database).

Cell lengths 5.220, 5.220, 5.220 Å; angles 90.00, 90.00, 90.00 degrees
Atoms (fractional coordinates):
Th  0.000  0.000  0.500
Th  0.500  0.000  0.000
Th  0.000  0.500  0.000
Fe  0.000  0.000  0.000
Sb  0.500  0.500  0.500

Calculated values
Energy relative to the lowest polymorph listed for this composition ... 0.143 eV/atom
Symmetry ... Pm-3m

---

Repeat the third record exactly.
# Rb3Y2ErS6

A relaxed Rb3Y2ErS6 crystal (PBE, the Alexandria database).

Cell lengths 7.052, 7.052, 8.038 Å; angles 98.41, 98.41, 120.00 degrees
Atoms (fractional coordinates):
S  0.064  0.395  0.192
Rb  0.167  0.833  0.500
S  0.395  0.064  0.192
S  0.936  0.605  0.808
S  0.733  0.733  0.192
Y  0.333  0.667  0.000
S  0.605  0.936  0.808
Rb  0.500  0.500  0.500
Y  0.667  0.333  0.000
S  0.267  0.267  0.808
Er  0.000  0.000  0.000
Rb  0.833  0.167  0.500

Calculated values
Symmetry ... C2/m
E_tot ... -5.621 eV per atom

---

Repeat the third record exactly.
# Rb3Y2ErS6

A relaxed Rb3Y2ErS6 crystal (PBE, the Alexandria database).

Cell lengths 7.052, 7.052, 8.038 Å; angles 98.41, 98.41, 120.00 degrees
Atoms (fractional coordinates):
S  0.064  0.395  0.192
Rb  0.167  0.833  0.500
S  0.395  0.064  0.192
S  0.936  0.605  0.808
S  0.733  0.733  0.192
Y  0.333  0.667  0.000
S  0.605  0.936  0.808
Rb  0.500  0.500  0.500
Y  0.667  0.333  0.000
S  0.267  0.267  0.808
Er  0.000  0.000  0.000
Rb  0.833  0.167  0.500

Calculated values
Symmetry ... C2/m
E_tot ... -5.621 eV per atom